Density functional theory data (PBE) for crystalline SrZnHg6 at its relaxed geometry.

Structure (POSCAR):
```
SrZnHg6
1.0
4.488 2.591 3.444
-4.488 2.591 3.444
0.000 -5.182 3.444
Sr Zn Hg
1 1 6
Direct
0.000 0.000 0.000
0.500 0.500 0.500
0.180 0.180 0.546
0.180 0.546 0.180
0.454 0.820 0.820
0.546 0.180 0.180
0.820 0.454 0.820
0.820 0.820 0.454
```

Output
symmetry = R-3m (166)
crystal system = trigonal
spin magnetization = 0.00 μB per cell
theoretical density = 9375 kg/m³
formation enthalpy at 0 K = -105 meV per atom

***

Density functional theory data (PBE) for crystalline TbDy3Mg at its relaxed geometry.

Structure (POSCAR):
```
TbDy3Mg
1.0
3.681 0.000 0.000
0.000 9.415 0.000
-1.828 0.000 9.360
Tb Dy Mg
2 6 2
Direct
0.008 0.250 0.017
0.992 0.750 0.983
0.191 0.250 0.383
0.403 0.004 0.807
0.403 0.496 0.807
0.597 0.504 0.193
0.597 0.996 0.193
0.809 0.750 0.617
0.171 0.750 0.340
0.829 0.250 0.660
```

Output
symmetry = P2_1/m (11)
crystal system = monoclinic
energy above the lowest structure with this stoichiometry = 218 meV per atom
spin magnetization = 0.00 μB per cell
theoretical density = 6867 kg/m³
formation enthalpy at 0 K = 200 meV per atom

***

Density functional theory data (PBE) for crystalline K5SnO5 at its relaxed geometry.

Structure (POSCAR):
```
K5SnO5
1.0
6.065 -2.578 0.000
6.065 2.578 0.000
-2.346 0.000 6.909
K Sn O
5 1 5
Direct
0.000 0.000 0.000
0.310 0.310 0.194
0.328 0.328 0.651
0.672 0.672 0.349
0.690 0.690 0.806
0.000 0.000 0.500
0.124 0.124 0.362
0.132 0.132 0.772
0.500 0.500 0.500
0.868 0.868 0.228
0.876 0.876 0.638
```

Output
symmetry = C2/m (12)
crystal system = monoclinic
calculated total energy = -4.36 eV/atom
spin magnetization = 1.05 μB per cell
theoretical density = 3030 kg/m³

***

Density functional theory data (PBE) for crystalline V3Te4Cl2 at its relaxed geometry.

Structure (POSCAR):
```
V3Te4Cl2
1.0
3.563 0.000 0.000
-1.782 3.086 0.000
0.000 0.000 22.578
V Te Cl
3 4 2
Direct
0.000 0.000 0.000
0.333 0.667 0.321
0.333 0.667 0.679
0.000 0.000 0.243
0.000 0.000 0.399
0.000 0.000 0.601
0.000 0.000 0.757
0.333 0.667 0.068
0.333 0.667 0.932
```

Output
symmetry = P-6m2 (187)
crystal system = hexagonal
calculated total energy = -5.32 eV/atom
spin magnetization = 4.98 μB per cell
theoretical density = 4910 kg/m³